# 1
USiIr2 after structural relaxation, computed with PBE-GGA.

Geometry as CIF:
```
data_USiIr2
_chemical_formula_sum 'U3 Si3 Ir6'
_cell_length_a 2.8470
_cell_length_b 2.8470
_cell_length_c 27.0425
_cell_angle_alpha 90.00
_cell_angle_beta 90.00
_cell_angle_gamma 120.00
_space_group_name_H-M_alt 'R -3 m'
_space_group_IT_number 166
_space_group_name_Hall '-R 3 2"'
loop_
_atom_site_label
_atom_site_type_symbol
_atom_site_fract_x
_atom_site_fract_y
_atom_site_fract_z
U1 U 0.0000 0.0000 0.0000
Si1 Si 0.0000 0.0000 0.5000
Ir1 Ir 0.0000 0.0000 0.2360
```

Computed properties:
E_form (uncorrected) = -0.99 eV per formula unit
calculated volume = 189.8 Å³/cell

---

# 2
U2Si7Ir12 after structural relaxation, computed with PBE-GGA.

Geometry as CIF:
```
data_U2Si7Ir12
_chemical_formula_sum 'U2 Si7 Ir12'
_cell_length_a 9.8057
_cell_length_b 9.8057
_cell_length_c 3.8616
_cell_angle_alpha 90.00
_cell_angle_beta 90.00
_cell_angle_gamma 120.00
_space_group_name_H-M_alt 'P -6'
_space_group_IT_number 174
_space_group_name_Hall 'P -6'
loop_
_atom_site_label
_atom_site_type_symbol
_atom_site_fract_x
_atom_site_fract_y
_atom_site_fract_z
U1 U 0.0000 0.0000 0.0000
U2 U 0.3333 0.6667 0.5000
Si1 Si 0.0685 0.4461 0.0000
Si2 Si 0.2641 0.2228 0.5000
Si3 Si 0.6667 0.3333 0.0000
Ir1 Ir 0.0471 0.2670 0.5000
Ir2 Ir 0.1151 0.7125 0.0000
Ir3 Ir 0.3945 0.1850 0.0000
Ir4 Ir 0.5253 0.4516 0.5000
```

Computed properties:
E_form (uncorrected) = -14.79 eV per formula unit
calculated volume = 321.6 Å³/cell